The following is a DFT calculation (PBE) of an optimized crystal structure of TmTiPd4.

- ΔE to the lowest computed polymorph: 0.000 eV/atom
- Volume: 16.9 Å³ per atom
- Space-group type: No. 63
- Energy of formation: -0.72 eV per atom

Structure (extended XYZ):
```
12
Lattice="2.094 -6.249 0.000 2.094 6.249 0.000 0.000 0.000 7.773" Properties=species:S:1:pos:R:3 pbc="T T T"
Tm 2.094 3.960 5.830
Tm 2.094 -3.960 1.943
Ti 2.094 0.265 5.830
Ti 2.094 -0.265 1.943
Pd 0.000 0.000 0.000
Pd 0.000 0.000 3.886
Pd 2.094 4.276 1.943
Pd 2.094 1.920 0.083
Pd 2.094 1.920 3.803
Pd 2.094 -1.920 3.970
Pd 2.094 -1.920 7.689
Pd 2.094 -4.276 5.830
```